A relaxed Na2NiIrS4 crystal, computed with GGA-PBE.

The space group is P2/m (No. 10) and the conventional cell measures 6.2487, 3.5992 and 6.6590 Å, with angles of 90.00, 108.72 and 90.00 degrees. Symmetry generates all atoms from Na at (0.0000, 0.0000, 0.0000), Na at (0.5000, 0.5000, 0.0000), Ni at (0.0000, 0.5000, 0.5000), Ir at (0.5000, 0.0000, 0.5000), S at (0.2242, 0.0000, 0.6786) and S at (0.2726, 0.5000, 0.3075).

The value obtained for the magnetic moment is 0.86 μB per formula unit. As for the raw formation energy: -0.61 eV per atom. For the total energy, the calculation gives -38.690 eV/f.u.